# InHg2Se, single point on PBEsol structure, DFT SCAN
data_InHg2Se
_cell_length_a 4.078
_cell_length_b 4.078
_cell_length_c 6.002
_cell_angle_alpha 90.00
_cell_angle_beta 90.00
_cell_angle_gamma 90.00
_space_group_name_H-M_alt 'P 4/m m m'
_space_group_IT_number 123
_space_group_name_Hall '-P 4 2'
loop_
_atom_site_label
_atom_site_fract_x
_atom_site_fract_y
_atom_site_fract_z
_atom_site_occupancy
In1 0.000 0.000 0.000 1
Hg1 0.000 0.500 0.500 1
Se1 0.500 0.500 0.000 1
# E_tot (eV per atom): -47.55
# Crystal system: tetragonal

# InSiHgSe2, single point on PBEsol structure, DFT SCAN
data_InSiHgSe2
_cell_length_a 4.932
_cell_length_b 4.932
_cell_length_c 5.002
_cell_angle_alpha 90.00
_cell_angle_beta 90.00
_cell_angle_gamma 90.00
_space_group_name_H-M_alt 'P 4/m m m'
_space_group_IT_number 123
_space_group_name_Hall '-P 4 2'
loop_
_atom_site_label
_atom_site_fract_x
_atom_site_fract_y
_atom_site_fract_z
_atom_site_occupancy
In1 0.000 0.000 0.000 1
Si1 0.500 0.500 0.500 1
Hg1 0.500 0.500 0.000 1
Se1 0.000 0.500 0.500 1
# E_tot (eV per atom): -30.28
# Crystal system: tetragonal

# ZrInHgSe2, single point on PBEsol structure, DFT SCAN
data_ZrInHgSe2
_cell_length_a 5.104
_cell_length_b 5.104
_cell_length_c 5.537
_cell_angle_alpha 90.00
_cell_angle_beta 90.00
_cell_angle_gamma 90.00
_space_group_name_H-M_alt 'P 4/m m m'
_space_group_IT_number 123
_space_group_name_Hall '-P 4 2'
loop_
_atom_site_label
_atom_site_fract_x
_atom_site_fract_y
_atom_site_fract_z
_atom_site_occupancy
Zr1 0.000 0.000 0.000 1
In1 0.000 0.000 0.500 1
Hg1 0.500 0.500 0.000 1
Se1 0.000 0.500 0.500 1
# E_tot (eV per atom): -33.90
# Crystal system: tetragonal

no.,ΔE_f (raw) (meV/atom),size of the total moment (μB per formula unit)
1,-97,0.0
2,61,0.0
3,579,1.1